Compound: Zr2CrW
Source: the Alexandria database
Functional: PBE-GGA
Structure: optimized geometry

a = 3.9900 Å, b = 3.9900 Å, c = 9.4744 Å
α = 90.00°, β = 90.00°, γ = 90.00°
Last column: nearest neighbours and their distance in Å.
Space group I-4m2 (No. 119)
Asymmetric unit:
Zr (0.0000, 0.0000, 0.0000) x2  4 W 2.82, 4 Zr 3.10, 4 Cr 3.10
Zr (0.0000, 0.5000, 0.2500) x2  4 Cr 2.82, 4 W 3.10, 4 Zr 3.10
Cr (0.0000, 0.5000, 0.7500) x2  8 Zr 2.82-3.10, 4 W 3.10
W (0.0000, 0.0000, 0.5000) x2  8 Zr 2.82-3.10, 4 Cr 3.10

## Properties
Density ... 9.21 g/cm³
M_tot ... 0.659 μB per atom
Formation energy ... 0.377 eV per atom
Crystal system ... tetragonal